No. 1
Dy3AgPt | PBE | relaxed

ΔE_f = -291.4 kJ/mol of formula units
density of states at the Fermi level = 9.7 states/eV per cell
space-group type = Cmcm, No. 63

a = 5.0253 Å, b = 5.0146 Å, c = 10.0921 Å
α = 90.00°, β = 75.58°, γ = 90.00°
Closest atoms and distances in Å follow each position.
Fractional coordinates of all 10 atoms:
Pt (0.6626, 0.7500, 0.3232)  8 Dy 3.04-3.09
Pt (0.9858, 0.2500, 0.6768)  8 Dy 3.04-3.09
Dy (0.0740, 0.7500, 0.5003)  4 Pt 3.04-3.05, 4 Ag 3.09
Dy (0.5743, 0.2500, 0.4997)  4 Pt 3.04-3.05, 4 Ag 3.09
Dy (0.7543, 0.2500, 0.1397)  2 Ag 3.05, 2 Pt 3.08
Dy (0.2548, 0.7500, 0.1386)  2 Ag 3.05, 2 Pt 3.09
Dy (0.8940, 0.7500, 0.8603)  2 Ag 3.05, 2 Pt 3.08
Dy (0.3935, 0.2500, 0.8614)  2 Ag 3.05, 2 Pt 3.09
Ag (0.4821, 0.7500, 0.6842)  8 Dy 3.05-3.09
Ag (0.1663, 0.2500, 0.3158)  8 Dy 3.05-3.09

No. 2
RbCdHg2Au | PBE | relaxed

ΔE_f = -67.1 kJ/mol of formula units
density of states at the Fermi level = 2.8 states/eV per cell
space-group type = P4/mmm, No. 123

a = 5.5332 Å, b = 5.5332 Å, c = 5.4253 Å
α = 90.00°, β = 90.00°, γ = 90.00°
Closest atoms and distances in Å follow each position.
Fractional coordinates of all 5 atoms:
Hg (0.0000, 0.5000, 0.0000)  2 Au 2.77
Hg (0.5000, 0.0000, 0.0000)  2 Au 2.77
Au (0.0000, 0.0000, 0.0000)  2 Cd 2.71, 4 Hg 2.77
Rb (0.5000, 0.5000, 0.5000)  8 Hg 3.87, 4 Cd 3.91
Cd (0.0000, 0.0000, 0.5000)  2 Au 2.71

No. 3
RbHoAs2O8 | PBE | relaxed

density of states at the Fermi level = 11.1 states/eV per cell
raw total energy = -6.150 eV/atom
space-group type = P-3, No. 147

a = 5.8397 Å, b = 5.8397 Å, c = 8.0913 Å
α = 90.00°, β = 90.00°, γ = 120.00°
Closest atoms and distances in Å follow each position.
Fractional coordinates of all 12 atoms:
Ho (0.0000, 0.0000, 0.5000)  6 O 2.22
O (0.6542, 0.8235, 0.6698)  1 As 1.71
O (0.3333, 0.6667, 0.9489)  1 As 1.73
O (0.1693, 0.3458, 0.6698)  1 As 1.71
O (0.8307, 0.6542, 0.3302)  1 As 1.71
O (0.8235, 0.1693, 0.3302)  1 As 1.71
O (0.3458, 0.1765, 0.3302)  1 As 1.71
O (0.1765, 0.8307, 0.6698)  1 As 1.71
O (0.6667, 0.3333, 0.0511)  1 As 1.73
Rb (0.0000, 0.0000, 0.0000)  12 O 3.19-3.40
As (0.6667, 0.3333, 0.2648)  4 O 1.71-1.73
As (0.3333, 0.6667, 0.7352)  4 O 1.71-1.73

No. 4
KTa2In | PBE | relaxed

ΔE_f = 195.3 kJ/mol of formula units
density of states at the Fermi level = 2.3 states/eV per cell
space-group type = P4mm, No. 99

a = 3.4651 Å, b = 3.4651 Å, c = 8.7637 Å
α = 90.00°, β = 90.00°, γ = 90.00°
Closest atoms and distances in Å follow each position.
Fractional coordinates of all 4 atoms:
Ta (0.0000, 0.0000, 0.0887)  4 Ta 2.73
Ta (0.5000, 0.5000, 0.2274)  4 Ta 2.73
In (0.0000, 0.0000, 0.4383)  5 Ta 3.06-3.07
K (0.5000, 0.5000, 0.7457)  4 K 3.47, 4 In 3.64, 4 Ta 3.88

No. 5
Mn2FeCoRu | PBE | relaxed

ΔE_f = 725.8 kJ/mol of formula units
density of states at the Fermi level = 7.0 states/eV per cell
space-group type = P4/mmm, No. 123

a = 4.5996 Å, b = 4.3416 Å, c = 4.5996 Å
α = 90.00°, β = 90.00°, γ = 90.00°
Closest atoms and distances in Å follow each position.
Fractional coordinates of all 5 atoms:
Ru (0.0000, 0.0000, 0.0000)  2 Co 2.17, 4 Mn 2.30
Mn (0.0000, 0.0000, 0.5000)  2 Ru 2.30
Mn (0.5000, 0.0000, 0.0000)  2 Ru 2.30
Co (0.0000, 0.5000, 0.0000)  2 Ru 2.17
Fe (0.5000, 0.5000, 0.5000)  8 Mn 3.16, 4 Co 3.25

No. 6
PmPr6Sm3Ho2 | PBE | relaxed

ΔE_f = 14.4 kJ/mol of formula units
density of states at the Fermi level = 15.6 states/eV per cell
space-group type = C2/m, No. 12

a = 6.3508 Å, b = 6.3508 Å, c = 12.0406 Å
α = 95.04°, β = 95.04°, γ = 120.02°
Closest atoms and distances in Å follow each position.
Fractional coordinates of all 12 atoms:
Pr (0.4174, 0.0833, 0.2483)  2 Ho 3.62-3.63, 1 Pm 3.63, 3 Sm 3.65-3.66, 6 Pr 3.66-3.68
Pr (0.7493, 0.7493, 0.2482)  2 Ho 3.62, 1 Pm 3.62, 3 Sm 3.66, 6 Pr 3.66-3.67
Pr (0.9167, 0.5826, 0.7517)  2 Ho 3.62-3.63, 1 Pm 3.63, 3 Sm 3.65-3.66, 6 Pr 3.66-3.68
Pr (0.0833, 0.4174, 0.2483)  2 Ho 3.62-3.63, 1 Pm 3.63, 3 Sm 3.65-3.66, 6 Pr 3.66-3.68
Pr (0.5826, 0.9167, 0.7517)  2 Ho 3.62-3.63, 1 Pm 3.63, 3 Sm 3.65-3.66, 6 Pr 3.66-3.68
Pr (0.2507, 0.2507, 0.7518)  2 Ho 3.62, 1 Pm 3.62, 3 Sm 3.66, 6 Pr 3.66-3.67
Sm (0.5000, 0.5000, 0.5000)  6 Pr 3.66, 6 Sm 3.67
Sm (0.1668, 0.8332, 0.5000)  6 Pr 3.65-3.66, 6 Sm 3.66-3.67
Sm (0.8332, 0.1668, 0.5000)  6 Pr 3.65-3.66, 6 Sm 3.66-3.67
Ho (0.6666, 0.3334, 0.0000)  6 Pr 3.62-3.63, 3 Ho 3.66-3.67, 3 Pm 3.67
Ho (0.3334, 0.6666, 0.0000)  6 Pr 3.62-3.63, 3 Ho 3.66-3.67, 3 Pm 3.67
Pm (0.0000, 0.0000, 0.0000)  6 Pr 3.62-3.63, 6 Ho 3.67

No. 7
Zr2SiMo | PBE | relaxed

density of states at the Fermi level = 3.2 states/eV per cell
raw total energy = -8.584 eV/atom
space-group type = Cm, No. 8

a = 5.1489 Å, b = 5.1489 Å, c = 4.6536 Å
α = 71.75°, β = 71.75°, γ = 39.03°
Closest atoms and distances in Å follow each position.
Fractional coordinates of all 4 atoms:
Zr (0.2376, 0.2376, 0.2504)  4 Si 2.83-2.98, 3 Zr 2.86-3.00, 3 Mo 2.91-3.15
Zr (0.0044, 0.0044, 0.0027)  4 Mo 2.80-2.99, 3 Zr 2.86-3.00, 3 Si 3.02-3.03
Mo (0.4886, 0.4886, 0.5386)  2 Si 2.64, 4 Zr 2.80-2.91
Si (0.7694, 0.7694, 0.7082)  2 Mo 2.64, 2 Zr 2.83

No. 8
AcPmS2 | PBE | relaxed

density of states at the Fermi level = 1.0 states/eV per cell
raw total energy = -6.221 eV/atom
space-group type = R3m, No. 160

a = 4.0802 Å, b = 4.0802 Å, c = 7.6207 Å
α = 74.47°, β = 74.47°, γ = 60.00°
Closest atoms and distances in Å follow each position.
Fractional coordinates of all 4 atoms:
Pm (0.6721, 0.6721, 0.9836)  6 S 2.81-2.95
Ac (0.4950, 0.4950, 0.5150)  6 S 3.00-3.13
S (0.2568, 0.2568, 0.2297)  3 Pm 2.95, 3 Ac 3.13
S (0.0761, 0.0761, 0.7717)  3 Pm 2.81, 3 Ac 3.00

No. 9
Ce2Sm3Dy6Tm | PBE | relaxed

ΔE_f = 51.4 kJ/mol of formula units
density of states at the Fermi level = 20.8 states/eV per cell
space-group type = C2/m, No. 12

a = 6.1562 Å, b = 6.1562 Å, c = 11.7542 Å
α = 95.01°, β = 95.01°, γ = 119.99°
Closest atoms and distances in Å follow each position.
Fractional coordinates of all 12 atoms:
Dy (0.5825, 0.9176, 0.7536)  2 Ce 3.51, 1 Tm 3.52, 6 Dy 3.54-3.57, 3 Sm 3.58-3.59
Dy (0.0824, 0.4175, 0.2464)  2 Ce 3.51, 1 Tm 3.52, 6 Dy 3.54-3.57, 3 Sm 3.58-3.59
Dy (0.7473, 0.7473, 0.2467)  2 Ce 3.51, 1 Tm 3.52, 6 Dy 3.54-3.57, 3 Sm 3.57-3.58
Dy (0.4175, 0.0824, 0.2464)  2 Ce 3.51, 1 Tm 3.52, 6 Dy 3.54-3.57, 3 Sm 3.58-3.59
Dy (0.9176, 0.5825, 0.7536)  2 Ce 3.51, 1 Tm 3.52, 6 Dy 3.54-3.57, 3 Sm 3.58-3.59
Dy (0.2527, 0.2527, 0.7533)  2 Ce 3.51, 1 Tm 3.52, 6 Dy 3.54-3.57, 3 Sm 3.57-3.58
Ce (0.3337, 0.6663, 0.0000)  6 Dy 3.51, 3 Ce 3.55-3.56, 3 Tm 3.55-3.56
Ce (0.6663, 0.3337, 0.0000)  6 Dy 3.51, 3 Ce 3.55-3.56, 3 Tm 3.55-3.56
Sm (0.5000, 0.5000, 0.5000)  6 Sm 3.55-3.56, 6 Dy 3.57-3.58
Sm (0.8339, 0.1661, 0.5000)  6 Sm 3.54-3.56, 6 Dy 3.58-3.59
Sm (0.1661, 0.8339, 0.5000)  6 Sm 3.54-3.56, 6 Dy 3.58-3.59
Tm (0.0000, 0.0000, 0.0000)  6 Dy 3.52, 6 Ce 3.55-3.56

No. 10
BeAlCrMo2 | PBE | relaxed

ΔE_f = 367.4 kJ/mol of formula units
density of states at the Fermi level = 7.2 states/eV per cell
space-group type = P4/mmm, No. 123

a = 4.2627 Å, b = 3.9521 Å, c = 4.2627 Å
α = 90.00°, β = 90.00°, γ = 90.00°
Closest atoms and distances in Å follow each position.
Fractional coordinates of all 5 atoms:
Al (0.0000, 0.5000, 0.0000)  2 Be 1.98
Be (0.0000, 0.0000, 0.0000)  2 Al 1.98, 4 Mo 2.13
Mo (0.5000, 0.0000, 0.0000)  2 Be 2.13
Mo (0.0000, 0.0000, 0.5000)  2 Be 2.13
Cr (0.5000, 0.5000, 0.5000)  8 Mo 2.91, 4 Al 3.01

No. 11
UTiAl2 | PBE | relaxed

ΔE_f = -41.8 kJ/mol of formula units
density of states at the Fermi level = 5.4 states/eV per cell
space-group type = R-3m, No. 166

a = 2.8852 Å, b = 2.8852 Å, c = 10.1316 Å
α = 81.81°, β = 81.81°, γ = 60.00°
Closest atoms and distances in Å follow each position.
Fractional coordinates of all 4 atoms:
Al (0.7438, 0.7438, 0.7687)  3 Ti 2.85, 6 Al 2.89, 3 U 3.16
Al (0.2562, 0.2562, 0.2313)  3 Ti 2.85, 6 Al 2.89, 3 U 3.16
Ti (0.0000, 0.0000, 0.0000)  6 Al 2.85, 6 Ti 2.89
U (0.5000, 0.5000, 0.5000)  6 U 2.89, 6 Al 3.16

No. 12
BaCaAl2 | PBE | relaxed

ΔE_f = -4.9 kJ/mol of formula units
density of states at the Fermi level = 4.6 states/eV per cell
space-group type = P4mm, No. 99

a = 3.6437 Å, b = 3.6437 Å, c = 9.3754 Å
α = 90.00°, β = 90.00°, γ = 90.00°
Closest atoms and distances in Å follow each position.
Fractional coordinates of all 4 atoms:
Al (0.0000, 0.0000, 0.0473)  4 Al 2.88
Al (0.5000, 0.5000, 0.1842)  4 Al 2.88
Ba (0.0000, 0.0000, 0.4456)  5 Al 3.56-3.73, 4 Ba 3.64
Ca (0.5000, 0.5000, 0.8230)  5 Al 3.33-3.39, 4 Ca 3.64

Number 9 is which compound?
Ce2Sm3Dy6Tm